[1]
The following is a DFT calculation (GGA-PBEsol) of a relaxed NaFeAs2Se crystal.

Results
The formation energy without anion corrections comes out at 0.1 eV per formula unit.

Structure (CIF):
```
data_NaFeAs2Se
_chemical_formula_sum 'Na1 Fe1 As2 Se1'
_symmetry_space_group_name_H-M 'P 4/m m m'
_symmetry_Int_Tables_number 123
_symmetry_space_group_name_Hall '-P 4 2'
_cell_length_a 4.3833
_cell_length_b 4.3833
_cell_length_c 5.4389
_cell_angle_alpha 90.00
_cell_angle_beta 90.00
_cell_angle_gamma 90.00
loop_
_atom_site_label
_atom_site_type_symbol
_atom_site_fract_x
_atom_site_fract_y
_atom_site_fract_z
Na1 Na 0.0000 0.0000 0.0000
Fe1 Fe 0.5000 0.5000 0.5000
As1 As 0.0000 0.5000 0.5000
Se1 Se 0.5000 0.5000 0.0000
```

[2]
The following is a DFT calculation (GGA-PBEsol) of a relaxed RbBi2Pd crystal.

Results
For the energy relative to the elements, the calculation gives 96.6 meV per atom.

Structure (CIF):
```
data_RbBi2Pd
_chemical_formula_sum 'Rb4 Bi8 Pd4'
_symmetry_space_group_name_H-M 'F m -3 m'
_symmetry_Int_Tables_number 225
_symmetry_space_group_name_Hall '-F 4 2 3'
_cell_length_a 7.4680
_cell_length_b 7.4680
_cell_length_c 7.4680
_cell_angle_alpha 90.00
_cell_angle_beta 90.00
_cell_angle_gamma 90.00
loop_
_atom_site_label
_atom_site_type_symbol
_atom_site_fract_x
_atom_site_fract_y
_atom_site_fract_z
Rb1 Rb 0.0000 0.0000 0.0000
Bi1 Bi 0.2500 0.2500 0.2500
Pd1 Pd 0.0000 0.0000 0.5000
```

[3]
The following is a DFT calculation (GGA-PBEsol) of a relaxed IrOsAu2 crystal.

Results
For the energy relative to the elements, the calculation gives 492.3 meV per atom.

Structure (CIF):
```
data_IrOsAu2
_chemical_formula_sum 'Ir2 Os2 Au4'
_symmetry_space_group_name_H-M 'C 1 2/m 1'
_symmetry_Int_Tables_number 12
_cell_length_a 9.2336
_cell_length_b 2.7737
_cell_length_c 4.8426
_cell_angle_alpha 90.00
_cell_angle_beta 99.71
_cell_angle_gamma 90.00
loop_
_symmetry_equiv_pos_as_xyz
'x,y,z'
'-x,-y,-z'
'-x,y,-z'
'x,-y,z'
'x+1/2,y+1/2,z'
'-x+1/2,-y+1/2,-z'
'-x+1/2,y+1/2,-z'
'x+1/2,-y+1/2,z'
loop_
_atom_site_label
_atom_site_type_symbol
_atom_site_fract_x
_atom_site_fract_y
_atom_site_fract_z
Ir1 Ir 0.0000 0.0000 0.0000
Os1 Os 0.0000 0.5000 0.5000
Au1 Au 0.2479 0.0000 0.7482
```

[4]
The following is a DFT calculation (GGA-PBEsol) of a relaxed Sr2SiCCl crystal.

Results
The formation energy without anion corrections comes out at 2.1 eV per formula unit.

Structure (CIF):
```
data_Sr2SiCCl
_chemical_formula_sum 'Sr2 Si1 C1 Cl1'
_symmetry_space_group_name_H-M 'P 4/m m m'
_symmetry_Int_Tables_number 123
_symmetry_space_group_name_Hall '-P 4 2'
_cell_length_a 5.3936
_cell_length_b 5.3936
_cell_length_c 4.1608
_cell_angle_alpha 90.00
_cell_angle_beta 90.00
_cell_angle_gamma 90.00
loop_
_atom_site_label
_atom_site_type_symbol
_atom_site_fract_x
_atom_site_fract_y
_atom_site_fract_z
Sr1 Sr 0.0000 0.5000 0.0000
Si1 Si 0.0000 0.0000 0.5000
C1 C 0.5000 0.5000 0.0000
Cl1 Cl 0.5000 0.5000 0.5000
```

[5]
The following is a DFT calculation (GGA-PBEsol) of a relaxed HfZr2H2 crystal.

Results
For the total DFT energy (no corrections), the calculation gives -7.35 eV per atom.

Structure (CIF):
```
data_HfZr2H2
_chemical_formula_sum 'Hf2 Zr4 H4'
_symmetry_space_group_name_H-M 'I 4/m m m'
_symmetry_Int_Tables_number 139
_symmetry_space_group_name_Hall '-I 4 2'
_cell_length_a 3.1815
_cell_length_b 3.1815
_cell_length_c 14.1689
_cell_angle_alpha 90.00
_cell_angle_beta 90.00
_cell_angle_gamma 90.00
loop_
_atom_site_label
_atom_site_type_symbol
_atom_site_fract_x
_atom_site_fract_y
_atom_site_fract_z
Hf1 Hf 0.0000 0.0000 0.0000
Zr1 Zr 0.0000 0.0000 0.3462
H1 H 0.0000 0.5000 0.2500
```

[6]
The following is a DFT calculation (GGA-PBEsol) of a relaxed ZnCo2Re2 crystal.

Results
For the energy relative to the elements, the calculation gives 516.8 meV per atom.

Structure (CIF):
```
data_ZnCo2Re2
_chemical_formula_sum 'Zn2 Co4 Re4'
_symmetry_space_group_name_H-M 'I 4/m m m'
_symmetry_Int_Tables_number 139
_symmetry_space_group_name_Hall '-I 4 2'
_cell_length_a 3.7104
_cell_length_b 3.7104
_cell_length_c 10.2563
_cell_angle_alpha 90.00
_cell_angle_beta 90.00
_cell_angle_gamma 90.00
loop_
_atom_site_label
_atom_site_type_symbol
_atom_site_fract_x
_atom_site_fract_y
_atom_site_fract_z
Zn1 Zn 0.0000 0.0000 0.0000
Co1 Co 0.0000 0.0000 0.4000
Re1 Re 0.0000 0.5000 0.2500
```

| no. | M_tot (μB/atom) |
| --- | --- |
| 1 | 0.142 |
| 2 | 0.000 |
| 3 | 0.000 |
| 4 | 0.239 |
| 5 | 0.000 |
| 6 | 0.000 |